Record 1
Below is CdGeAs3 after structural relaxation, with properties calculated at the PBE level.

Cell and atoms, written as POSCAR:
```
CdGeAs3
1.0
4.9844 0.0000 0.0000
0.0000 4.9844 0.0000
0.0000 0.0000 4.9844
Cd Ge As
1 1 3
Cartesian
0.0000 0.0000 0.0000
2.4922 2.4922 2.4922
0.0000 2.4922 2.4922
2.4922 0.0000 2.4922
2.4922 2.4922 0.0000
```

Its total energy is -3.190 eV per atom. For the energy of formation from the pure elements, the calculation gives 68.1 kJ/mol of atoms. As for the density of states at the Fermi level: 0.9451 states/eV/atom. The value obtained for the polymorph energy (0 for the lowest one) is 0.590 eV per atom.

=====

Record 2
Below is Th2Pa2C5 after structural relaxation, with properties calculated at the PBE level.

Cell and atoms, written as POSCAR:
```
Th2Pa2C5
1.0
6.2497 -3.3718 0.0000
6.2497 3.3718 0.0000
0.0000 0.0000 6.7813
Th Pa C
4 4 10
Cartesian
2.5438 0.0000 0.0000
3.7059 0.0000 3.3907
8.7935 0.0000 3.3907
9.9556 0.0000 0.0000
6.2497 2.3555 4.4202
6.2497 1.0163 1.0296
6.2497 -1.0163 5.7517
6.2497 -2.3555 2.3611
0.0000 0.0000 0.0000
4.6755 2.2710 2.3331
4.6755 1.1008 5.7238
7.8238 2.2710 2.3331
7.8238 1.1008 5.7238
6.2497 0.0000 3.3907
4.6755 -1.1008 1.0576
4.6755 -2.2710 4.4482
7.8238 -1.1008 1.0576
7.8238 -2.2710 4.4482
```

Its total energy is -8.955 eV per atom. For the energy of formation from the pure elements, the calculation gives -6.9 kJ/mol of atoms. As for the density of states at the Fermi level: 0.6655 states/eV/atom.

=====

Record 3
Below is Na7Sr3Hg4 after structural relaxation, with properties calculated at the PBE level.

Cell and atoms, written as POSCAR:
```
Na7Sr3Hg4
1.0
9.4442 -2.4018 0.0000
9.4442 2.4018 0.0000
-7.2028 0.0000 10.2318
Na Sr Hg
7 3 4
Cartesian
0.0000 0.0000 0.0000
-3.4900 0.0000 9.5371
2.5634 0.0000 5.0791
7.6623 0.0000 2.0512
4.0232 0.0000 8.1806
9.1221 0.0000 5.1527
15.1755 0.0000 0.6947
-3.6014 0.0000 5.1159
0.0286 0.0000 8.0213
11.6569 0.0000 2.2105
-0.0978 0.0000 3.1529
4.6048 0.0000 2.6798
7.0807 0.0000 7.5520
11.7833 0.0000 7.0789
```

Its total energy is -1.341 eV per atom. For the energy of formation from the pure elements, the calculation gives -22.6 kJ/mol of atoms. As for the density of states at the Fermi level: 0.5299 states/eV/atom.

=====

Calculated volume (Å³/atom)
24.77 15.88 33.16